# Ba2SrZn2 (meta-GGA SCAN, PBEsol geometry)
data_Ba2SrZn2
_chemical_formula_sum 'Ba4 Sr2 Zn4'
_cell_length_a 9.109
_cell_length_b 9.109
_cell_length_c 4.393
_cell_angle_alpha 90.00
_cell_angle_beta 90.00
_cell_angle_gamma 90.00
_space_group_name_H-M_alt 'P 4/m b m'
_space_group_IT_number 127
_space_group_name_Hall '-P 4 2ab'
loop_
_atom_site_label
_atom_site_type_symbol
_atom_site_fract_x
_atom_site_fract_y
_atom_site_fract_z
_atom_site_occupancy
Ba1 Ba 0.153 0.347 0.000 1
Sr1 Sr 0.000 0.000 0.500 1
Zn1 Zn 0.133 0.633 0.500 1
# * total moment: 0.00 μB per formula unit
# * DOS at the Fermi energy: 10.773 states/eV per cell
# * E_form: -104 meV/atom